#one
A relaxed structure of BeHgPO2, computed with GGA-PBE.

```
5
Lattice="-1.797 2.734 1.339 -2.206 -0.098 -2.761 -3.140 -3.352 2.627" Properties=species:S:1:pos:R:3 pbc="T T T"
P -1.570 -1.676 1.314
Hg -3.572 -0.358 0.603
O -1.103 -0.049 -1.380
O -0.899 1.367 0.670
Be 0.000 0.000 0.000
```

Results
Size of the total moment   0.1 μB/f.u.

#two
A relaxed structure of BeHgPO2, computed with GGA-PBE.

```
5
Lattice="-3.106 -0.683 2.462 -2.243 -1.128 -3.143 1.618 -5.022 0.648" Properties=species:S:1:pos:R:3 pbc="T T T"
P 0.809 -2.511 0.324
Hg 0.000 0.000 0.000
O -1.121 -0.564 -1.571
O -1.553 -0.342 1.231
Be -1.866 -3.417 -0.016
```

Results
Size of the total moment   0.0 μB/f.u.

It comes down to #one, which is 1162 meV per atom more stable than the next structure.

#one
A relaxed structure of BeHgP2O, computed with GGA-PBE.

```
5
Lattice="-4.154 -0.124 -3.083 2.872 -2.042 -3.789 -0.637 -2.688 0.966" Properties=species:S:1:pos:R:3 pbc="T T T"
P 1.436 -1.021 -1.894
P -2.077 -0.062 -1.541
Hg -0.959 -2.427 -2.953
O -0.318 -1.344 0.483
Be 0.000 0.000 0.000
```

Results
Size of the total moment   0.0 μB/f.u.

#two
A relaxed structure of BeHgP2O, computed with GGA-PBE.

```
5
Lattice="-1.515 -4.826 -0.354 4.816 -1.540 0.383 -0.371 -0.175 3.968" Properties=species:S:1:pos:R:3 pbc="T T T"
P 2.408 -0.770 0.191
P -0.757 -2.413 -0.177
Hg 0.000 0.000 0.000
O -0.186 -0.087 1.984
Be 1.465 -3.270 1.998
```

Results
Size of the total moment   0.0 μB/f.u.

It comes down to #one, which is 1444 meV per atom more stable than the next structure.

#one
A relaxed structure of BeHgOs, computed with GGA-PBE.

```
3
Lattice="6.818 0.001 0.000 5.983 2.689 0.020 0.835 -1.045 2.476" Properties=species:S:1:pos:R:3 pbc="T T T"
Be 0.993 -0.996 2.444
Os 8.534 1.358 0.896
Hg 4.944 0.237 1.633
```

Results
Size of the total moment   0.0 μB/f.u.

#two
A relaxed structure of BeHgOs, computed with GGA-PBE.

```
3
Lattice="2.846 0.000 0.000 -1.423 2.465 0.000 0.000 0.000 6.490" Properties=species:S:1:pos:R:3 pbc="T T T"
Be 0.000 0.000 6.284
Os 0.000 1.643 4.636
Hg 1.423 0.822 2.060
```

Results
Size of the total moment   0.0 μB/f.u.

It comes down to #two, which is 63 meV per atom more stable than the next structure.